LaZn2AsP | PBE-GGA | relaxed

a = 4.7546 Å, b = 5.1833 Å, c = 4.7546 Å
α = 90.00°, β = 90.00°, γ = 90.00°
With the nearest neighbours (Å) after each atom.
Positions (direct):
P 0.0000 0.5000 0.0000  2 As 2.59
La 0.5000 0.5000 0.5000  4 P 3.36, 8 Zn 3.52
Zn 0.0000 0.0000 0.5000  2 As 2.38
Zn 0.5000 0.0000 0.0000  2 As 2.38
As 0.0000 0.0000 0.0000  4 Zn 2.38, 2 P 2.59

Summary:
The formation energy is -32 meV/atom. For the size of the total moment, the calculation gives 0.0 μB per formula unit. The calculation puts the mass density at 5.32 g/cm3.

Be2InAg2 | PBE-GGA | relaxed

a = 7.3000 Å, b = 7.3000 Å, c = 2.9147 Å
α = 90.00°, β = 90.00°, γ = 90.00°
With the nearest neighbours (Å) after each atom.
Positions (direct):
Be 0.1592 0.6592 0.5000  6 Ag 2.56-2.61
Be 0.8408 0.3408 0.5000  6 Ag 2.56-2.61
Be 0.6592 0.8408 0.5000  6 Ag 2.56-2.61
Ag 0.8631 0.6369 0.0000  6 Be 2.56-2.61, 1 Ag 2.83, 2 In 2.83
In 0.0000 0.0000 0.0000  4 Ag 2.83, 2 In 2.91, 8 Be 3.11
In 0.5000 0.5000 0.0000  4 Ag 2.83, 2 In 2.91, 8 Be 3.11
Be 0.3408 0.1592 0.5000  6 Ag 2.56-2.61
Ag 0.6369 0.1369 0.0000  6 Be 2.56-2.61, 1 Ag 2.83, 2 In 2.83
Ag 0.3631 0.8631 0.0000  6 Be 2.56-2.61, 1 Ag 2.83, 2 In 2.83
Ag 0.1369 0.3631 0.0000  6 Be 2.56-2.61, 1 Ag 2.83, 2 In 2.83

Summary:
As for the energy above the most stable polymorph in this dataset: 117 meV per atom. The formation energy is 317 meV/atom. For the size of the total moment, the calculation gives 0.0 μB per formula unit. The calculation puts the mass density at 7.45 g/cm3.

Mg2TcP | PBE-GGA | relaxed

a = 2.9779 Å, b = 2.9779 Å, c = 8.6859 Å
α = 90.00°, β = 90.00°, γ = 113.60°
With the nearest neighbours (Å) after each atom.
Positions (direct):
P 0.0000 0.0000 0.5309  2 Tc 2.28
Mg 0.0000 0.0000 0.9743  2 Tc 2.78, 6 Mg 2.98-3.11
Tc 0.5000 0.5000 0.7152  2 P 2.28
Mg 0.5000 0.5000 0.2796  2 P 2.73, 4 Mg 2.98

Summary:
The formation energy is 43 meV/atom. For the size of the total moment, the calculation gives 0.0 μB per formula unit. The calculation puts the mass density at 4.18 g/cm3.

BaAg2Rh | PBE-GGA | relaxed

a = 5.4248 Å, b = 5.4248 Å, c = 5.4248 Å
α = 130.08°, β = 130.08°, γ = 73.29°
With the nearest neighbours (Å) after each atom.
Positions (direct):
Ag 0.2500 0.7500 0.5000  4 Ba 3.16, 4 Ag 3.16, 4 Rh 3.24
Rh 0.7500 0.2500 0.5000  4 Ba 3.16, 8 Ag 3.16-3.24
Ag 0.0000 0.0000 0.0000  4 Rh 3.16, 4 Ag 3.16, 4 Ba 3.24
Ba 0.5000 0.5000 0.0000  4 Rh 3.16, 8 Ag 3.16-3.24

Summary:
As for the energy above the most stable polymorph in this dataset: 249 meV per atom. The formation energy is 189 meV/atom. For the size of the total moment, the calculation gives 0.0 μB per formula unit. The calculation puts the mass density at 8.30 g/cm3.

PrSm2Al | PBE-GGA | relaxed

a = 3.6866 Å, b = 3.6866 Å, c = 10.8890 Å
α = 80.25°, β = 80.25°, γ = 60.00°
With the nearest neighbours (Å) after each atom.
Positions (direct):
Sm 0.2626 0.2626 0.2122  3 Al 3.10
Pr 0.5001 0.5001 0.4997  6 Pr 3.69, 6 Sm 3.74
Sm 0.0710 0.0710 0.7871  3 Al 3.12
Al 0.6663 0.6663 0.0010  6 Sm 3.10-3.12

Summary:
As for the energy above the most stable polymorph in this dataset: 132 meV per atom. The formation energy is -47 meV/atom. For the size of the total moment, the calculation gives 0.0 μB per formula unit. The calculation puts the mass density at 6.19 g/cm3.

Ac2TlCdO6 | PBE-GGA | relaxed

a = 5.9540 Å, b = 6.3254 Å, c = 8.5319 Å
α = 90.00°, β = 89.79°, γ = 90.00°
With the nearest neighbours (Å) after each atom.
Positions (direct):
O 0.8810 0.5512 0.2498  1 Tl 2.27, 1 Cd 2.28, 1 Ac 2.49
Ac 0.0179 0.9338 0.2501  4 O 2.49-2.55
Cd 0.5000 0.0000 0.0000  6 O 2.26-2.33
Ac 0.5179 0.5662 0.7501  4 O 2.49-2.55
O 0.8066 0.8056 0.9380  1 Cd 2.26, 1 Tl 2.31, 1 Ac 2.52
O 0.8041 0.8095 0.5599  1 Tl 2.24, 1 Cd 2.33
Ac 0.4821 0.4338 0.2499  4 O 2.49-2.55
Tl 0.0000 0.5000 0.0000  6 O 2.24-2.31
O 0.3066 0.6944 0.4380  1 Cd 2.26, 1 Tl 2.31, 1 Ac 2.52
O 0.1934 0.1944 0.0620  1 Cd 2.26, 1 Tl 2.31, 1 Ac 2.52
O 0.6959 0.3095 0.9401  1 Tl 2.24, 1 Cd 2.33
O 0.1190 0.4488 0.7502  1 Tl 2.27, 1 Cd 2.28, 1 Ac 2.49
O 0.6190 0.0512 0.2502  1 Tl 2.27, 1 Cd 2.28, 1 Ac 2.49
O 0.3810 0.9488 0.7498  1 Tl 2.27, 1 Cd 2.28, 1 Ac 2.49
Tl 0.5000 0.0000 0.5000  6 O 2.24-2.31
O 0.1959 0.1905 0.4401  1 Tl 2.24, 1 Cd 2.33
Ac 0.9821 0.0662 0.7499  4 O 2.49-2.55
Cd 0.0000 0.5000 0.5000  6 O 2.26-2.33
O 0.3041 0.6905 0.0599  1 Tl 2.24, 1 Cd 2.33
O 0.6934 0.3056 0.5620  1 Cd 2.26, 1 Tl 2.31, 1 Ac 2.52

Summary:
The formation energy without anion corrections comes out at -1917.2 kJ/mol of formula units. For the size of the total moment, the calculation gives 0.8 μB per formula unit. The calculation puts the mass density at 8.96 g/cm3.